Record 1
First-principles (GGA-PBE) data for an optimized crystal structure of Tm3Co8Ni, as listed in Alexandria via LeMat-Bulk.

Its total magnetization is 30.774 μB per cell. The energy of formation from the pure elements comes out at -0.1714 eV/atom.

The structure belongs to space group R3m (No. 160, hexagonal axes); the cell edges are 4.9410, 4.9410 and 24.1392 Å and the angles 90.00°, 90.00° and 120.00°. The asymmetric unit holds Tm at (0.0000, 0.0000, 0.0000), Tm at (0.0000, 0.0000, 0.1296), Tm at (0.0000, 0.0000, 0.6150), Co at (0.0000, 0.0000, 0.3121), Co at (0.0000, 0.0000, 0.8124), Co at (0.0022, 0.5011, 0.0641), Co at (0.1672, 0.3343, 0.8935) and Ni at (0.0000, 0.0000, 0.4931).


Record 2
First-principles (GGA-PBE) data for an optimized crystal structure of CrFe4Ru, as listed in Alexandria via LeMat-Bulk.

Its total magnetization is 20.860 μB per cell. The energy of formation from the pure elements comes out at 0.0992 eV/atom.

The structure belongs to space group F-43m (No. 216); the cell edges are 6.590, 6.590 and 6.590 Å and the angles 90.00°, 90.00° and 90.00°. The asymmetric unit holds Cr at (0.000, 0.000, 0.000), Fe at (0.125, 0.125, 0.625) and Ru at (0.250, 0.250, 0.250).


Record 3
First-principles (GGA-PBE) data for an optimized crystal structure of BaSmSn2, as listed in Alexandria via LeMat-Bulk.

Its total magnetization is 0.000 μB per cell. The energy of formation from the pure elements comes out at -0.4713 eV/atom.

The structure belongs to space group R-3m (No. 166, hexagonal axes); the cell edges are 5.1704, 5.1704 and 19.0825 Å and the angles 90.00°, 90.00° and 120.00°. The asymmetric unit holds Ba at (0.0000, 0.0000, 0.0000), Sm at (0.0000, 0.0000, 0.5000) and Sn at (0.0000, 0.0000, 0.2265).


Record 4
First-principles (GGA-PBE) data for an optimized crystal structure of K3CdCu, as listed in Alexandria via LeMat-Bulk.

Its total magnetization is 0.000 μB per cell. The energy of formation from the pure elements comes out at 0.2739 eV/atom. Its energy above the lowest structure with this stoichiometry is 0.000 eV per atom.

The structure belongs to space group Pm-3m (No. 221); the cell edges are 6.301, 6.301 and 6.301 Å and the angles 90.00°, 90.00° and 90.00°. The asymmetric unit holds K at (0.000, 0.000, 0.500), Cd at (0.500, 0.500, 0.500) and Cu at (0.000, 0.000, 0.000).


Record 5
First-principles (GGA-PBE) data for an optimized crystal structure of TlBi2Se, as listed in Alexandria via LeMat-Bulk.

Its energy relative to the elements, uncorrected is -35 meV per atom. Its total magnetization is 0.000 μB per cell. Its energy above the lowest structure with this stoichiometry is 0.000 eV per atom.

The structure belongs to space group I-42d (No. 122); the cell edges are 4.800, 4.800 and 22.520 Å and the angles 90.00°, 90.00° and 90.00°. The asymmetric unit holds Tl at (0.000, 0.000, 0.000), Bi at (0.203, 0.250, 0.625) and Se at (0.000, 0.000, 0.500).


Record 6
First-principles (GGA-PBE) data for an optimized crystal structure of TmPuTl6, as listed in Alexandria via LeMat-Bulk.

Its total magnetization is 5.651 μB per cell. The energy of formation from the pure elements comes out at -0.1053 eV/atom.

The structure belongs to space group P4/mmm (No. 123); the cell edges are 4.761, 4.761 and 9.548 Å and the angles 90.00°, 90.00° and 90.00°. The asymmetric unit holds Tm at (0.000, 0.000, 0.000), Pu at (0.000, 0.000, 0.500), Tl at (0.000, 0.500, 0.248), Tl at (0.500, 0.500, 0.000) and Tl at (0.500, 0.500, 0.500).


Record 7
First-principles (GGA-PBE) data for an optimized crystal structure of Sr2CuTeO2, as listed in Alexandria via LeMat-Bulk.

Its energy relative to the elements, uncorrected is -1743 meV per atom. Its total magnetization is 0.000 μB per cell.

The structure belongs to space group P4/mmm (No. 123); the cell edges are 4.030, 4.030 and 7.411 Å and the angles 90.00°, 90.00° and 90.00°. The asymmetric unit holds Sr at (0.000, 0.000, 0.221), Cu at (0.500, 0.500, 0.000), Te at (0.500, 0.500, 0.500) and O at (0.000, 0.500, 0.000).


Record 8
First-principles (GGA-PBE) data for an optimized crystal structure of Ho6CuTe5, as listed in Alexandria via LeMat-Bulk.

Its energy relative to the elements, uncorrected is -1129 meV per atom. Its total magnetization is 0.000 μB per cell.

The structure belongs to space group C2/m (No. 12); the cell edges are 7.502, 12.921 and 7.463 Å and the angles 90.00°, 109.41° and 90.00°. The asymmetric unit holds Ho at (0.219, 0.000, 0.264), Ho at (0.224, 0.150, 0.725), Cu at (0.000, 0.000, 0.500), Te at (0.000, 0.181, 0.000), Te at (0.000, 0.336, 0.500) and Te at (0.000, 0.500, 0.000).